[1]
The following is a GGA-PBE calculation of a relaxed LaSb2Se crystal, from the Alexandria database.

a = 4.272 Å, b = 4.272 Å, c = 6.208 Å
α = 90.00°, β = 90.00°, γ = 90.00°
Atoms (fractional coordinates):
La (0.000, 0.000, 0.000)
Sb (0.000, 0.500, 0.500)
Sb (0.500, 0.000, 0.500)
Se (0.500, 0.500, 0.000)

=====

[2]
The following is a GGA-PBE calculation of a relaxed La2SbSe5 crystal, from the Alexandria database.

E above lowest polymorph   0 meV per atom

a = 8.106 Å, b = 11.973 Å, c = 4.321 Å
α = 90.00°, β = 90.00°, γ = 90.00°
Atoms (fractional coordinates):
La (0.075, 0.170, 0.000)
La (0.425, 0.670, 0.000)
La (0.575, 0.330, 0.000)
La (0.925, 0.830, 0.000)
Sb (0.000, 0.500, 0.500)
Sb (0.500, 0.000, 0.500)
Se (0.000, 0.000, 0.500)
Se (0.149, 0.710, 0.500)
Se (0.202, 0.434, 0.000)
Se (0.298, 0.934, 0.000)
Se (0.351, 0.210, 0.500)
Se (0.500, 0.500, 0.500)
Se (0.649, 0.790, 0.500)
Se (0.702, 0.066, 0.000)
Se (0.798, 0.566, 0.000)
Se (0.851, 0.290, 0.500)

=====

[3]
The following is a GGA-PBE calculation of a relaxed LaSb2Se crystal, from the Alexandria database.

a = 4.336 Å, b = 4.336 Å, c = 11.605 Å
α = 90.00°, β = 90.00°, γ = 90.00°
Atoms (fractional coordinates):
La (0.000, 0.000, 0.000)
La (0.500, 0.500, 0.500)
Sb (0.000, 0.500, 0.250)
Sb (0.000, 0.500, 0.750)
Sb (0.500, 0.000, 0.250)
Sb (0.500, 0.000, 0.750)
Se (0.000, 0.000, 0.500)
Se (0.500, 0.500, 0.000)

=====

[4]
The following is a GGA-PBE calculation of a relaxed La4SbSe3 crystal, from the Alexandria database.

a = 4.393 Å, b = 6.219 Å, c = 8.812 Å
α = 90.00°, β = 90.00°, γ = 90.00°
Atoms (fractional coordinates):
La (0.000, 0.000, 0.000)
La (0.000, 0.000, 0.500)
La (0.500, 0.500, 0.240)
La (0.500, 0.500, 0.760)
Sb (0.000, 0.500, 0.500)
Se (0.000, 0.500, 0.000)
Se (0.500, 0.000, 0.248)
Se (0.500, 0.000, 0.752)

=====

[5]
The following is a GGA-PBE calculation of a relaxed La4SbSe crystal, from the Alexandria database.

a = 6.411 Å, b = 6.411 Å, c = 6.411 Å
α = 60.00°, β = 60.00°, γ = 60.00°
Atoms (fractional coordinates):
La (0.124, 0.124, 0.124)
La (0.124, 0.124, 0.628)
La (0.124, 0.628, 0.124)
La (0.628, 0.124, 0.124)
Sb (0.750, 0.750, 0.750)
Se (0.500, 0.500, 0.500)

=====

[6]
The following is a GGA-PBE calculation of a relaxed LaSb2Se crystal, from the Alexandria database.

a = 3.777 Å, b = 3.777 Å, c = 27.484 Å
α = 90.00°, β = 90.00°, γ = 120.00°
Atoms (fractional coordinates):
La (0.000, 0.000, 0.000)
La (0.333, 0.667, 0.667)
La (0.667, 0.333, 0.333)
Sb (0.000, 0.000, 0.239)
Sb (0.000, 0.000, 0.761)
Sb (0.333, 0.667, 0.428)
Sb (0.333, 0.667, 0.905)
Sb (0.667, 0.333, 0.095)
Sb (0.667, 0.333, 0.572)
Se (0.000, 0.000, 0.500)
Se (0.333, 0.667, 0.167)
Se (0.667, 0.333, 0.833)

=====

[7]
The following is a GGA-PBE calculation of a relaxed LaSb2Se crystal, from the Alexandria database.

a = 7.644 Å, b = 7.644 Å, c = 7.644 Å
α = 90.00°, β = 90.00°, γ = 90.00°
Atoms (fractional coordinates):
La (0.000, 0.000, 0.000)
La (0.000, 0.500, 0.500)
La (0.500, 0.000, 0.500)
La (0.500, 0.500, 0.000)
Sb (0.000, 0.000, 0.500)
Sb (0.000, 0.500, 0.000)
Sb (0.250, 0.250, 0.750)
Sb (0.250, 0.750, 0.250)
Sb (0.500, 0.000, 0.000)
Sb (0.500, 0.500, 0.500)
Sb (0.750, 0.250, 0.250)
Sb (0.750, 0.750, 0.750)
Se (0.250, 0.250, 0.250)
Se (0.250, 0.750, 0.750)
Se (0.750, 0.250, 0.750)
Se (0.750, 0.750, 0.250)

=====

[8]
The following is a GGA-PBE calculation of a relaxed LaSb2Se2 crystal, from the Alexandria database.

a = 8.221 Å, b = 8.221 Å, c = 4.253 Å
α = 90.00°, β = 90.00°, γ = 90.00°
Atoms (fractional coordinates):
La (0.000, 0.000, 0.000)
La (0.500, 0.500, 0.000)
Sb (0.130, 0.370, 0.000)
Sb (0.370, 0.870, 0.000)
Sb (0.630, 0.130, 0.000)
Sb (0.870, 0.630, 0.000)
Se (0.210, 0.710, 0.500)
Se (0.290, 0.210, 0.500)
Se (0.710, 0.790, 0.500)
Se (0.790, 0.290, 0.500)

=====

What are the uncorrected energy values for these records? In order: -20.12 -84.67 -40.55 -48.78 -28.90 -51.91 -75.77 -45.55 eV/cell.
What are the density of states at the Fermi level values for these records? In order: 3.0 5.6 5.0 4.2 6.4 11.0 16.6 6.7 states/eV/cell.
What are the uncorrected formation energy values for these records? In order: -0.8647 -1.3669 -0.9048 -1.8122 -0.2640 -0.1616 -0.5714 -0.5270 eV per atom.